Material: Cs3SrDy2S6
Method: DFT, PBE
State: relaxed

SG: No. 12
DFT total energy in eV/atom: -4.83
Size of the total moment in μB per formula unit: 0.00
N(E_F) in states/eV per cell: 12.81
Volume in Å³/f.u.: 372.5

```
Cs3SrDy2S6
1.0
-5.904 0.043 -4.317
0.484 -4.805 5.493
-1.750 6.861 4.530
S Cs Sr Dy
6 3 1 2
Direct
0.704 0.704 0.183
0.419 0.062 0.185
0.062 0.419 0.185
0.581 0.938 0.815
0.296 0.296 0.817
0.938 0.581 0.815
0.838 0.162 0.500
0.500 0.500 0.500
0.162 0.838 0.500
0.000 0.000 0.000
0.333 0.667 0.000
0.667 0.333 0.000
```